1.
BaMg2Al, relaxed, DFT PBE; formation energy from the elements = 0.049 eV/atom
1.0
-0.235 0.431 -3.596
2.497 -2.590 -0.473
-6.270 -5.989 -0.308
Mg Ba Al
2 1 1
Direct
0.000 0.000 0.065
0.000 0.000 0.435
0.500 0.500 0.750
0.500 0.500 0.250

=====

2.
PrMgSb3, relaxed, DFT PBE; formation energy (no corrections) = -0.5666 eV/atom
1.0
6.412 0.000 0.000
0.000 6.256 0.000
0.000 0.000 13.816
Mg Sb Pr
4 12 4
Direct
0.500 0.750 0.896
0.500 0.250 0.104
0.000 0.250 0.104
0.000 0.750 0.896
0.750 0.002 0.752
0.750 0.816 0.080
0.250 0.184 0.920
0.250 0.998 0.248
0.000 0.250 0.498
0.500 0.250 0.498
0.500 0.750 0.502
0.000 0.750 0.502
0.750 0.316 0.920
0.750 0.502 0.248
0.250 0.684 0.080
0.250 0.498 0.752
0.250 0.505 0.320
0.750 0.995 0.320
0.250 0.005 0.680
0.750 0.495 0.680

=====

3.
Cs2NaScPd, relaxed, DFT PBE; formation energy from the elements = 0.277 eV/atom
1.0
-5.506 -3.952 2.308
0.898 -3.383 -3.651
4.397 -3.565 4.384
Sc Pd Na Cs
1 1 1 2
Direct
0.000 0.500 0.000
0.000 0.000 0.000
0.500 0.500 0.500
0.500 0.000 0.000
0.000 0.000 0.500

=====

4.
CdOs, relaxed, DFT PBE; formation energy from the elements = 0.848 eV/atom
1.0
3.520 0.000 0.000
0.000 3.520 0.000
0.000 0.000 6.701
Os Cd
2 2
Direct
0.250 0.750 0.000
0.750 0.250 0.000
0.250 0.250 0.358
0.750 0.750 0.642

=====

5.
AcMg2Zr, relaxed, DFT PBE; formation energy from the elements = 0.083 eV/atom
1.0
-2.109 3.028 0.665
-3.070 -1.927 -0.962
-0.917 -2.284 7.498
Zr Ac Mg
1 1 2
Direct
0.500 0.500 0.000
0.500 0.500 0.500
0.000 0.000 0.797
0.000 0.000 0.203

=====

6.
SmGd3Al4O12, relaxed, DFT PBE; formation energy (no corrections) = -3.2727 eV/atom
1.0
7.520 0.000 0.000
0.000 5.295 0.000
0.000 0.010 5.364
Al O Gd Sm
4 12 3 1
Direct
0.249 0.000 0.500
0.751 0.500 0.000
0.751 0.000 0.500
0.249 0.500 0.000
0.711 0.284 0.285
0.000 0.077 0.518
0.791 0.785 0.214
0.291 0.214 0.787
0.500 0.927 0.483
0.000 0.423 0.016
0.209 0.785 0.214
0.791 0.714 0.714
0.709 0.214 0.787
0.289 0.284 0.285
0.500 0.577 0.986
0.209 0.714 0.714
0.000 0.990 0.958
0.500 0.010 0.042
0.000 0.510 0.458
0.500 0.491 0.540

=====

In order of appearance, N(E_F) = 2.6, 9.3, 6.5, 3.5, 3.6, 0.0 states/eV/cell.